Rb3Ce2VSe6 after structural relaxation, computed with PBE-GGA.

a = 7.2865 Å, b = 7.2865 Å, c = 8.3507 Å
α = 98.40°, β = 98.40°, γ = 120.03°
With the nearest neighbours (Å) after each atom.
Fractional positions:
V1 0.0000 0.0000 0.0000  6 Se 2.74-2.75
Se1 0.0638 0.3760 0.1914  1 V 2.74, 2 Ce 2.94
Se2 0.3760 0.0638 0.1914  1 V 2.74, 2 Ce 2.94
Se3 0.7525 0.7525 0.1928  1 V 2.75, 2 Ce 2.94
Se4 0.9362 0.6240 0.8086  1 V 2.74, 2 Ce 2.94
Se5 0.6240 0.9362 0.8086  1 V 2.74, 2 Ce 2.94
Se6 0.2475 0.2475 0.8072  1 V 2.75, 2 Ce 2.94
Ce1 0.3337 0.6663 0.0000  6 Se 2.94
Ce2 0.6663 0.3337 0.0000  6 Se 2.94
Rb1 0.5000 0.5000 0.5000  6 Se 3.41-3.57
Rb2 0.8300 0.1700 0.5000  6 Se 3.41-3.54
Rb3 0.1700 0.8300 0.5000  6 Se 3.41-3.54

Calculated values
Magnetic moment (μB/cell): 4.00
D(E_F) (states/eV per cell): 9.01



RbCeVSe4 after structural relaxation, computed with PBE-GGA.

a = 6.8682 Å, b = 6.8454 Å, c = 9.5462 Å
α = 90.00°, β = 108.25°, γ = 90.00°
With the nearest neighbours (Å) after each atom.
Fractional positions:
Ce1 0.7660 0.7500 0.4513  6 Se 2.98-3.04
Ce2 0.2340 0.2500 0.5487  6 Se 2.98-3.04
Rb1 0.7356 0.7500 0.9382  8 Se 3.46-3.71
Rb2 0.2644 0.2500 0.0618  8 Se 3.46-3.71
Se1 0.4209 0.7500 0.1697  1 V 2.33
Se2 0.0147 0.9910 0.7101  1 V 2.35
Se3 0.0147 0.5090 0.7101  1 V 2.35
Se4 0.5824 0.2500 0.4239  1 V 2.33
Se5 0.4176 0.7500 0.5761  1 V 2.33
Se6 0.9853 0.0090 0.2899  1 V 2.35
Se7 0.9853 0.4910 0.2899  1 V 2.35
Se8 0.5791 0.2500 0.8303  1 V 2.33
V1 0.2210 0.7500 0.3274  4 Se 2.33-2.35
V2 0.7790 0.2500 0.6726  4 Se 2.33-2.35

Calculated values
Magnetic moment (μB/cell): 4.00
D(E_F) (states/eV per cell): 15.03



RbCeY4Se8 after structural relaxation, computed with PBE-GGA.

a = 8.6291 Å, b = 8.6291 Å, c = 8.7811 Å
α = 60.57°, β = 60.57°, γ = 60.00°
With the nearest neighbours (Å) after each atom.
Fractional positions:
Y1 0.0046 0.4870 0.5038  6 Se 2.79-3.05
Y2 0.6258 0.6258 0.1225  4 Se 2.79-2.85
Y3 0.0046 0.0046 0.5038  6 Se 2.79-3.05
Y4 0.4870 0.0046 0.5038  6 Se 2.79-3.05
Se1 0.2374 0.2374 0.7228  2 Y 2.79, 1 Ce 2.89, 1 Rb 3.05
Se2 0.7528 0.7528 0.2634  3 Y 2.79-3.03, 1 Ce 3.11
Se3 0.2310 0.7528 0.2634  3 Y 2.79-3.03, 1 Ce 3.11
Se4 0.2374 0.8023 0.7228  2 Y 2.79, 1 Ce 2.89, 1 Rb 3.05
Se5 0.7573 0.7573 0.7282  4 Y 2.85-3.05
Se6 0.7528 0.2310 0.2634  3 Y 2.79-3.03, 1 Ce 3.11
Se7 0.2313 0.2313 0.3060  3 Y 2.80, 1 Rb 3.04
Se8 0.8023 0.2374 0.7228  2 Y 2.79, 1 Ce 2.89, 1 Rb 3.05
Ce1 0.0044 0.0044 0.9869  6 Se 2.89-3.11
Rb1 0.3713 0.3713 0.8861  4 Se 3.04-3.05

Calculated values
Magnetic moment (μB/cell): 1.01
D(E_F) (states/eV per cell): 8.56



Rb2Ce2YSe6 after structural relaxation, computed with PBE-GGA.

a = 7.3926 Å, b = 7.3926 Å, c = 8.5028 Å
α = 98.32°, β = 98.32°, γ = 119.91°
With the nearest neighbours (Å) after each atom.
Fractional positions:
Ce1 0.3339 0.6661 0.5000  6 Se 2.92-2.93
Ce2 0.6661 0.3339 0.5000  6 Se 2.92-2.93
Se1 0.6054 0.9372 0.3084  1 Y 2.90, 2 Ce 2.92-2.93
Se2 0.9372 0.6054 0.3084  1 Y 2.90, 2 Ce 2.92-2.93
Se3 0.2649 0.2649 0.3082  1 Y 2.89, 2 Ce 2.93
Se4 0.0628 0.3946 0.6916  1 Y 2.90, 2 Ce 2.92-2.93
Se5 0.3946 0.0628 0.6916  1 Y 2.90, 2 Ce 2.92-2.93
Se6 0.7351 0.7351 0.6918  1 Y 2.89, 2 Ce 2.93
Rb1 0.8330 0.1670 0.0000  6 Se 3.51-3.53
Rb2 0.1670 0.8330 0.0000  6 Se 3.51-3.53
Y1 0.0000 0.0000 0.5000  6 Se 2.89-2.90

Calculated values
Magnetic moment (μB/cell): 1.02
D(E_F) (states/eV per cell): 6.17



Rb2CeYSe4 after structural relaxation, computed with PBE-GGA.

a = 4.3334 Å, b = 7.5029 Å, c = 8.3731 Å
α = 107.34°, β = 90.00°, γ = 90.00°
With the nearest neighbours (Å) after each atom.
Fractional positions:
Y1 0.0000 0.0000 0.0000  6 Se 2.92-2.93
Ce1 0.5000 0.5000 0.0000  6 Se 2.99-3.00
Rb1 0.5000 0.0000 0.5000  6 Se 3.45
Rb2 0.0000 0.5000 0.5000  6 Se 3.51
Se1 0.0000 0.7403 0.1988  1 Y 2.92, 2 Ce 2.99
Se2 0.5000 0.7750 0.8036  2 Y 2.93, 1 Ce 3.00
Se3 0.5000 0.2250 0.1964  2 Y 2.93, 1 Ce 3.00
Se4 0.0000 0.2597 0.8012  1 Y 2.92, 2 Ce 2.99

Calculated values
Magnetic moment (μB/cell): 1.01
D(E_F) (states/eV per cell): 5.56



Rb3Ce2YSe6 after structural relaxation, computed with PBE-GGA.

a = 7.5527 Å, b = 7.5527 Å, c = 8.3730 Å
α = 98.65°, β = 98.65°, γ = 120.00°
With the nearest neighbours (Å) after each atom.
Fractional positions:
Rb1 0.5000 0.5000 0.5000  6 Se 3.46-3.53
Rb2 0.1675 0.8325 0.5000  6 Se 3.47-3.52
Rb3 0.8325 0.1675 0.5000  6 Se 3.47-3.52
Ce1 0.6666 0.3334 0.0000  6 Se 3.00
Ce2 0.3334 0.6666 0.0000  6 Se 3.00
Se1 0.7405 0.7405 0.1984  1 Y 2.93, 2 Ce 3.00
Se2 0.0660 0.3918 0.1982  1 Y 2.93, 2 Ce 3.00
Se3 0.2595 0.2595 0.8016  1 Y 2.93, 2 Ce 3.00
Se4 0.3918 0.0660 0.1982  1 Y 2.93, 2 Ce 3.00
Se5 0.6082 0.9340 0.8018  1 Y 2.93, 2 Ce 3.00
Se6 0.9340 0.6082 0.8018  1 Y 2.93, 2 Ce 3.00
Y1 0.0000 0.0000 0.0000  6 Se 2.93

Calculated values
Magnetic moment (μB/cell): 2.01
D(E_F) (states/eV per cell): 11.54



Rb4Ce3ZnSe8 after structural relaxation, computed with PBE-GGA.

a = 8.5924 Å, b = 9.3920 Å, c = 8.6354 Å
α = 117.42°, β = 119.84°, γ = 90.00°
With the nearest neighbours (Å) after each atom.
Fractional positions:
Se1 0.7767 0.3096 0.0342  1 Zn 2.83, 2 Ce 2.95-2.96
Se2 0.2302 0.6952 0.4603  1 Zn 2.92, 2 Ce 2.94
Se3 0.2575 0.3096 0.0342  1 Zn 2.83, 2 Ce 2.95-2.96
Se4 0.7332 0.7008 0.4665  3 Ce 2.96
Se5 0.2233 0.6904 0.9658  1 Zn 2.83, 2 Ce 2.95-2.96
Se6 0.2668 0.2992 0.5335  3 Ce 2.96
Se7 0.7698 0.3048 0.5397  1 Zn 2.92, 2 Ce 2.94
Se8 0.7425 0.6904 0.9658  1 Zn 2.83, 2 Ce 2.95-2.96
Rb1 0.5000 0.0000 0.5000  6 Se 3.44-3.48
Rb2 0.5000 0.0000 0.0000  6 Se 3.50-3.56
Rb3 0.0000 0.0000 0.0000  6 Se 3.46
Rb4 0.0000 0.0000 0.5000  6 Se 3.44-3.48
Ce1 0.0000 0.5000 0.5000  6 Se 2.94-2.96
Ce2 0.5000 0.5000 0.5000  6 Se 2.94-2.96
Ce3 0.5000 0.5000 0.0000  6 Se 2.95-2.96
Zn1 0.0000 0.5000 0.0000  6 Se 2.83-2.92

Calculated values
Magnetic moment (μB/cell): 0.66
D(E_F) (states/eV per cell): 11.56



RbCeZnSe4 after structural relaxation, computed with PBE-GGA.

a = 7.3428 Å, b = 5.8181 Å, c = 9.9003 Å
α = 90.00°, β = 106.23°, γ = 90.00°
With the nearest neighbours (Å) after each atom.
Fractional positions:
Zn1 0.7348 0.2500 0.6736  4 Se 2.38-2.50
Zn2 0.2652 0.7500 0.3264  4 Se 2.38-2.50
Se1 0.0124 0.9873 0.7020  1 Zn 2.50, 1 Se 2.76
Se2 0.9876 0.0127 0.2980  1 Zn 2.50, 1 Se 2.76
Se3 0.4226 0.7500 0.5795  1 Zn 2.45
Se4 0.4650 0.7500 0.1740  1 Zn 2.38
Se5 0.5350 0.2500 0.8260  1 Zn 2.38
Se6 0.5774 0.2500 0.4205  1 Zn 2.45
Se7 0.9876 0.4873 0.2980  1 Zn 2.50, 1 Se 2.76
Se8 0.0124 0.5127 0.7020  1 Zn 2.50, 1 Se 2.76
Ce1 0.2663 0.2500 0.5568  8 Se 2.84-3.12
Ce2 0.7337 0.7500 0.4432  8 Se 2.84-3.12
Rb1 0.2484 0.2500 0.0465  5 Se 3.39-3.70
Rb2 0.7516 0.7500 0.9535  5 Se 3.39-3.70

Calculated values
Magnetic moment (μB/cell): 0.55
D(E_F) (states/eV per cell): 5.38



Rb2Ce2ZnSe6 after structural relaxation, computed with PBE-GGA.

a = 7.4940 Å, b = 7.4940 Å, c = 8.4871 Å
α = 97.24°, β = 97.24°, γ = 124.15°
With the nearest neighbours (Å) after each atom.
Fractional positions:
Se1 0.7651 0.7651 0.6651  1 Zn 2.43
Se2 0.9439 0.5811 0.3033  2 Ce 2.81-2.86, 1 Zn 3.14
Se3 0.5811 0.9439 0.3033  2 Ce 2.81-2.86, 1 Zn 3.14
Se4 0.4189 0.0561 0.6967  2 Ce 2.81-2.86, 1 Zn 3.14
Se5 0.2349 0.2349 0.3349  1 Zn 2.43
Se6 0.0561 0.4189 0.6967  2 Ce 2.81-2.86, 1 Zn 3.14
Ce1 0.3341 0.6659 0.5000  6 Se 2.81-2.97
Ce2 0.6659 0.3341 0.5000  6 Se 2.81-2.97
Zn1 0.0000 0.0000 0.5000  2 Se 2.43
Rb1 0.8444 0.1556 0.0000  6 Se 3.44-3.54
Rb2 0.1556 0.8444 0.0000  6 Se 3.44-3.54

Calculated values
Magnetic moment (μB/cell): 0.00



Rb3Ce3ZnSe8 after structural relaxation, computed with PBE-GGA.

a = 8.4599 Å, b = 8.4695 Å, c = 9.4617 Å
α = 116.64°, β = 90.00°, γ = 119.96°
With the nearest neighbours (Å) after each atom.
Fractional positions:
Se1 0.7330 0.4661 0.6992  3 Ce 2.93
Se2 0.2233 0.9617 0.6851  1 Zn 2.80, 2 Ce 2.90
Se3 0.2248 0.4496 0.6861  1 Zn 2.82, 2 Ce 2.90
Se4 0.7767 0.0383 0.3149  1 Zn 2.80, 2 Ce 2.90
Se5 0.7385 0.9617 0.6851  1 Zn 2.80, 2 Ce 2.90
Se6 0.2615 0.0383 0.3149  1 Zn 2.80, 2 Ce 2.90
Se7 0.2670 0.5339 0.3008  3 Ce 2.93
Se8 0.7752 0.5504 0.3139  1 Zn 2.82, 2 Ce 2.90
Ce1 0.5000 0.5000 0.5000  6 Se 2.90-2.93
Ce2 0.0000 0.5000 0.5000  6 Se 2.90-2.93
Ce3 0.5000 0.0000 0.5000  6 Se 2.90-2.93
Rb1 0.5000 0.5000 0.0000  6 Se 3.45-3.51
Rb2 0.0000 0.5000 0.0000  6 Se 3.45-3.51
Rb3 0.0000 0.0000 0.0000  6 Se 3.45-3.51
Zn1 0.0000 0.0000 0.5000  6 Se 2.80-2.82

Calculated values
Magnetic moment (μB/cell): 1.11
D(E_F) (states/eV per cell): 12.53



Rb3CeSm2Te6 after structural relaxation, computed with PBE-GGA.

a = 8.0297 Å, b = 8.0297 Å, c = 8.9701 Å
α = 98.58°, β = 98.58°, γ = 120.00°
With the nearest neighbours (Å) after each atom.
Fractional positions:
Ce1 0.0000 0.0000 0.0000  6 Te 3.22
Te1 0.4050 0.0678 0.2033  2 Sm 3.18, 1 Ce 3.22
Te2 0.7305 0.7305 0.2032  2 Sm 3.18, 1 Ce 3.22
Te3 0.0678 0.4050 0.2033  2 Sm 3.18, 1 Ce 3.22
Te4 0.2695 0.2695 0.7968  2 Sm 3.18, 1 Ce 3.22
Te5 0.9322 0.5950 0.7967  2 Sm 3.18, 1 Ce 3.22
Te6 0.5950 0.9322 0.7967  2 Sm 3.18, 1 Ce 3.22
Rb1 0.5000 0.5000 0.5000  6 Te 3.67-3.70
Rb2 0.1661 0.8339 0.5000  6 Te 3.67-3.70
Rb3 0.8339 0.1661 0.5000  6 Te 3.67-3.70
Sm1 0.3333 0.6667 0.0000  6 Te 3.18
Sm2 0.6667 0.3333 0.0000  6 Te 3.18

Calculated values
Magnetic moment (μB/cell): 1.02
D(E_F) (states/eV per cell): 8.28



Rb3Ce3SmTe8 after structural relaxation, computed with PBE-GGA.

a = 9.1880 Å, b = 9.1877 Å, c = 10.1580 Å
α = 116.89°, β = 90.00°, γ = 120.00°
With the nearest neighbours (Å) after each atom.
Fractional positions:
Te1 0.2657 0.5313 0.2970  3 Ce 3.18
Te2 0.7660 0.5321 0.3004  2 Ce 3.16, 1 Sm 3.18
Te3 0.2339 0.9657 0.6996  2 Ce 3.16, 1 Sm 3.18
Te4 0.2682 0.0343 0.3004  2 Ce 3.16, 1 Sm 3.18
Te5 0.7661 0.0343 0.3004  2 Ce 3.16, 1 Sm 3.18
Te6 0.7343 0.4687 0.7030  3 Ce 3.18
Te7 0.2340 0.4679 0.6996  2 Ce 3.16, 1 Sm 3.18
Te8 0.7318 0.9657 0.6996  2 Ce 3.16, 1 Sm 3.18
Ce1 0.0000 0.5000 0.5000  6 Te 3.16-3.18
Ce2 0.5000 0.5000 0.5000  6 Te 3.16-3.18
Ce3 0.5000 0.0000 0.5000  6 Te 3.16-3.18
Rb1 0.0000 0.5000 0.0000  6 Te 3.70-3.72
Rb2 0.0000 0.0000 0.0000  6 Te 3.69-3.72
Rb3 0.5000 0.5000 0.0000  6 Te 3.70-3.72
Sm1 0.0000 0.0000 0.5000  6 Te 3.18

Calculated values
Magnetic moment (μB/cell): 2.01
D(E_F) (states/eV per cell): 13.36



Number 1: formation energy (no corrections) -1.39 eV/atom, final energy -5.12 eV/atom. Number 2: formation energy (no corrections) -1.23 eV/atom, final energy -5.51 eV/atom. Number 3: formation energy (no corrections) -1.71 eV/atom, final energy -6.04 eV/atom. Number 4: formation energy (no corrections) -1.72 eV/atom, final energy -5.46 eV/atom. Number 5: formation energy (no corrections) -1.70 eV/atom, final energy -5.24 eV/atom. Number 6: formation energy (no corrections) -1.69 eV/atom, final energy -5.20 eV/atom. Number 7: formation energy (no corrections) -1.43 eV/atom, final energy -4.61 eV/atom. Number 8: formation energy (no corrections) -1.17 eV/atom, final energy -4.33 eV/atom. Number 9: formation energy (no corrections) -1.32 eV/atom, final energy -4.59 eV/atom. Number 10: formation energy (no corrections) -1.41 eV/atom, final energy -4.73 eV/atom. Number 11: formation energy (no corrections) -1.38 eV/atom, final energy -4.47 eV/atom. Number 12: formation energy (no corrections) -1.34 eV/atom, final energy -4.71 eV/atom.